A relaxed structure of Sr6Zn2Cd. Source: the Alexandria database, functional GGA-PBE.

Summary:
**Energy of formation**: -0.15 eV/atom
**Fermi-level density of states**: 11.84 states/eV/f.u.
**Symmetry**: Immm
**Theoretical density**: 3596 kg/m3

Unit cell a=9.7424 b=9.7424 c=9.7424 alpha=107.03 beta=109.02 gamma=112.41
Sites, in units of the cell vectors:
Sr 0.1906 0.2486 0.4391
Sr 0.4505 0.2726 0.1779
Zn 0.3386 0.0000 0.3386
Zn 0.5000 0.6110 0.1110
Sr 0.3090 0.9782 0.6693
Sr 0.6910 0.3603 0.6693
Cd 0.0000 0.0000 0.0000
Sr 0.8094 0.2486 0.0580
Zn 0.6614 0.0000 0.6614
Zn 0.5000 0.3890 0.8890
Sr 0.3090 0.6397 0.3307
Sr 0.5495 0.7274 0.8221
Sr 0.8094 0.7514 0.5609
Sr 0.1906 0.7514 0.9420
Sr 0.0947 0.2726 0.8221
Cd 0.0000 0.5000 0.5000
Sr 0.6910 0.0218 0.3307
Sr 0.9053 0.7274 0.1779

***

A relaxed structure of SrZn3Cd. Source: the Alexandria database, functional GGA-PBE.

Summary:
**Energy of formation**: -0.10 eV/atom
**Fermi-level density of states**: 2.34 states/eV/f.u.
**Symmetry**: P6_3/mmc
**E above lowest polymorph**: 0 meV per atom
**Theoretical density**: 5653 kg/m3

Unit cell a=6.0630 b=6.6586 c=6.6583 alpha=120.00 beta=90.00 gamma=90.00
Sites, in units of the cell vectors:
Cd 0.0000 0.0000 0.0000
Zn 0.7500 0.2031 0.7970
Cd 0.5000 0.0000 0.0000
Zn 0.2500 0.4062 0.2030
Zn 0.2500 0.7969 0.5938
Sr 0.7500 0.6667 0.3334
Zn 0.7500 0.5938 0.7970
Zn 0.7500 0.2031 0.4062
Sr 0.2500 0.3333 0.6666
Zn 0.2500 0.7969 0.2030

***

Please write out number 2 again, unchanged.
A relaxed structure of SrZn3Cd. Source: the Alexandria database, functional GGA-PBE.

Summary:
**Energy of formation**: -0.10 eV/atom
**Fermi-level density of states**: 2.34 states/eV/f.u.
**Symmetry**: P6_3/mmc
**E above lowest polymorph**: 0 meV per atom
**Theoretical density**: 5653 kg/m3

Unit cell a=6.0630 b=6.6586 c=6.6583 alpha=120.00 beta=90.00 gamma=90.00
Sites, in units of the cell vectors:
Cd 0.0000 0.0000 0.0000
Zn 0.7500 0.2031 0.7970
Cd 0.5000 0.0000 0.0000
Zn 0.2500 0.4062 0.2030
Zn 0.2500 0.7969 0.5938
Sr 0.7500 0.6667 0.3334
Zn 0.7500 0.5938 0.7970
Zn 0.7500 0.2031 0.4062
Sr 0.2500 0.3333 0.6666
Zn 0.2500 0.7969 0.2030

***

> Fermi-level density of states of number 1 (Sr6Zn2Cd)?

11.84 states/eV/f.u.

***

> Which of these has the highest Fermi-level density of states?

Sr6Zn2Cd

***

Please write out number 1 again, unchanged.
A relaxed structure of Sr6Zn2Cd. Source: the Alexandria database, functional GGA-PBE.

Summary:
**Energy of formation**: -0.15 eV/atom
**Fermi-level density of states**: 11.84 states/eV/f.u.
**Symmetry**: Immm
**Theoretical density**: 3596 kg/m3

Unit cell a=9.7424 b=9.7424 c=9.7424 alpha=107.03 beta=109.02 gamma=112.41
Sites, in units of the cell vectors:
Sr 0.1906 0.2486 0.4391
Sr 0.4505 0.2726 0.1779
Zn 0.3386 0.0000 0.3386
Zn 0.5000 0.6110 0.1110
Sr 0.3090 0.9782 0.6693
Sr 0.6910 0.3603 0.6693
Cd 0.0000 0.0000 0.0000
Sr 0.8094 0.2486 0.0580
Zn 0.6614 0.0000 0.6614
Zn 0.5000 0.3890 0.8890
Sr 0.3090 0.6397 0.3307
Sr 0.5495 0.7274 0.8221
Sr 0.8094 0.7514 0.5609
Sr 0.1906 0.7514 0.9420
Sr 0.0947 0.2726 0.8221
Cd 0.0000 0.5000 0.5000
Sr 0.6910 0.0218 0.3307
Sr 0.9053 0.7274 0.1779